# InAsPdO (PBE, relaxed)
# Energy above the most stable polymorph in this dataset: 673.5 meV/atom
# E: -34.3 eV per cell
data_InAsPdO
_chemical_formula_sum 'In2 As2 Pd2 O2'
_cell_length_a 4.189
_cell_length_b 4.189
_cell_length_c 8.057
_cell_angle_alpha 90.00
_cell_angle_beta 90.00
_cell_angle_gamma 90.00
_space_group_name_H-M_alt 'P 4/n m m'
_space_group_IT_number 129
loop_
_space_group_symop_operation_xyz
'x,y,z'
'-x,-y,-z'
'-y+1/2,x,z'
'y+1/2,-x,-z'
'-x+1/2,-y+1/2,z'
'x+1/2,y+1/2,-z'
'y,-x+1/2,z'
'-y,x+1/2,-z'
'x+1/2,-y,-z'
'-x+1/2,y,z'
'-y,-x,-z'
'y,x,z'
'-x,y+1/2,-z'
'x,-y+1/2,z'
'y+1/2,x+1/2,-z'
'-y+1/2,-x+1/2,z'
loop_
_atom_site_label
_atom_site_type_symbol
_atom_site_fract_x
_atom_site_fract_y
_atom_site_fract_z
In1 In 0.250 0.750 0.000
As1 As 0.250 0.250 0.236
Pd1 Pd 0.250 0.250 0.577
O1 O 0.250 0.750 0.500

---

# YNbAlCo (PBE, relaxed)
# M_tot: 2.00 μB/f.u.
# Energy above the most stable polymorph in this dataset: 101.9 meV/atom
# E: -105.2 eV per cell
data_YNbAlCo
_chemical_formula_sum 'Y4 Nb4 Al4 Co4'
_cell_length_a 6.540
_cell_length_b 6.540
_cell_length_c 6.540
_cell_angle_alpha 90.00
_cell_angle_beta 90.00
_cell_angle_gamma 90.00
_space_group_name_H-M_alt 'F -4 3 m'
_space_group_IT_number 216
_space_group_name_Hall 'F -4 2 3'
loop_
_atom_site_label
_atom_site_type_symbol
_atom_site_fract_x
_atom_site_fract_y
_atom_site_fract_z
Y1 Y 0.000 0.000 0.000
Nb1 Nb 0.250 0.250 0.750
Al1 Al 0.250 0.250 0.250
Co1 Co 0.000 0.000 0.500

---

# Ta3SbN2 (PBE, relaxed)
# M_tot: 0.02 μB/f.u.
# E: -118.1 eV per cell
data_Ta3SbN2
_chemical_formula_sum 'Ta6 Sb2 N4'
_cell_length_a 3.2114
_cell_length_b 3.2114
_cell_length_c 18.5425
_cell_angle_alpha 90.00
_cell_angle_beta 90.00
_cell_angle_gamma 120.00
_space_group_name_H-M_alt 'P 63/m m c'
_space_group_IT_number 194
_space_group_name_Hall '-P 6c 2c'
loop_
_atom_site_label
_atom_site_type_symbol
_atom_site_fract_x
_atom_site_fract_y
_atom_site_fract_z
Ta1 Ta 0.0000 0.0000 0.0000
Ta2 Ta 0.3333 0.6667 0.1303
Sb1 Sb 0.0000 0.0000 0.2500
N1 N 0.3333 0.6667 0.5653

---

> The lowest E belongs to which entry?

Ta3SbN2